{"formula": "CdCo", "functional": "GGA-PBE", "state": "relaxed", "delta_e_f_ev_per_atom": 0.788, "magnetic_moment_mub_per_fu": 0.01, "density_g_cm3": 8.1, "lattice_angstrom": [[0.000, 5.958, 5.958], [5.958, 0.000, 5.958], [5.958, 5.958, 0.000]], "species": ["Cd", "Cd", "Cd", "Cd", "Cd", "Cd", "Cd", "Cd", "Cd", "Cd", "Cd", "Cd", "Co", "Co", "Co", "Co", "Co", "Co", "Co", "Co", "Co", "Co", "Co", "Co"], "frac_coords": [[0.125, 0.125, 0.125], [0.625, 0.125, 0.125], [0.125, 0.625, 0.125], [0.390, 0.390, 0.390], [0.829, 0.390, 0.390], [0.390, 0.829, 0.390], [0.860, 0.860, 0.421], [0.125, 0.125, 0.625], [0.390, 0.390, 0.829], [0.860, 0.421, 0.860], [0.421, 0.860, 0.860], [0.860, 0.860, 0.860], [0.497, 0.003, 0.003], [0.003, 0.497, 0.003], [0.497, 0.497, 0.003], [0.753, 0.247, 0.247], [0.247, 0.753, 0.247], [0.753, 0.753, 0.247], [0.003, 0.003, 0.497], [0.497, 0.003, 0.497], [0.003, 0.497, 0.497], [0.247, 0.247, 0.753], [0.753, 0.247, 0.753], [0.247, 0.753, 0.753]]}